5
Lattice="3.941 0.000 0.000 0.000 3.941 0.000 0.000 0.000 5.406" Properties=species:S:1:pos:R:3 comment="ScPWO2 GGA+U relaxed" vol_a3_per_cell=84 m_tot_mub_per_cell=2.21 space_group="P4/mmm, No. 123" dft_energy_ry_per_atom=-0.482 pbc="T T T"
Sc 0.000 0.000 0.000
P 0.000 0.000 2.703
O 0.000 1.970 0.000
O 1.970 0.000 0.000
W 1.970 1.970 2.703